LiPuZr2S4, relaxed, DFT PBE; DFT total energy = -62.5 eV per cell; formation energy (no corrections) = -1.58 eV per atom; total moment = 5.2 Bohr magnetons per cell
1.0
3.7265 0.0000 0.0000
0.0000 6.4456 0.1228
0.0000 -2.2449 6.2266
S Zr Li Pu
4 2 1 1
Cartesian
1.8633 1.1125 1.6274
0.0000 4.2182 1.6757
1.8633 3.0882 4.7220
0.0000 -0.0175 4.6737
1.8633 -1.1224 3.1133
0.0000 2.1004 3.1747
1.8633 3.2228 0.0614
0.0000 0.0000 0.0000